VASP calculation (PBE-GGA) on an optimized crystal structure of PaBH.

Results
* size of the total moment: 0.000 μB per cell
* DFT total energy: -0.4744 Ry/atom

Unit cell a=3.7541 b=3.7541 c=3.1588 alpha=90.00 beta=90.00 gamma=120.00
Space group P3m1 (No. 156)
Asymmetric unit:
Pa 0.0000 0.0000 0.0000
B 0.3333 0.6667 0.5002
H 0.6667 0.3333 0.9986

---

VASP calculation (PBE-GGA) on an optimized crystal structure of CrInMo.

Results
* size of the total moment: 4.199 μB per cell
* DFT total energy: -0.5120 Ry/atom
* DFT formation energy: 0.765 eV/atom

Unit cell a=6.0906 b=6.0906 c=6.0906 alpha=90.00 beta=90.00 gamma=90.00
Space group F-43m (No. 216)
Asymmetric unit:
Cr 0.0000 0.0000 0.0000
In 0.2500 0.2500 0.7500
Mo 0.2500 0.2500 0.2500

---

VASP calculation (PBE-GGA) on an optimized crystal structure of NaSm2Sn3Te6.

Results
* size of the total moment: 0.000 μB per cell
* DFT total energy: -0.3099 Ry/atom
* ΔE_f (raw): -0.748 eV per atom

Unit cell a=19.8918 b=4.4426 c=9.2173 alpha=90.00 beta=104.90 gamma=90.00
Space group C2/m (No. 12)
Asymmetric unit:
Na 0.0000 0.0000 0.0000
Sm 0.1681 0.5000 0.3450
Sn 0.0000 0.0000 0.5000
Sn 0.1577 0.5000 0.8483
Te 0.0053 0.5000 0.2560
Te 0.1677 0.0000 0.5909
Te 0.1747 0.0000 0.0999

---

VASP calculation (PBE-GGA) on an optimized crystal structure of MgZrCr.

Results
* size of the total moment: 16.460 μB per cell
* DFT total energy: -0.4273 Ry/atom
* DFT formation energy: 0.775 eV/atom

Unit cell a=6.4953 b=6.4953 c=6.4953 alpha=90.00 beta=90.00 gamma=90.00
Space group F-43m (No. 216)
Asymmetric unit:
Mg 0.0000 0.0000 0.0000
Zr 0.0000 0.0000 0.5000
Cr 0.2500 0.2500 0.7500

---

VASP calculation (PBE-GGA) on an optimized crystal structure of Tl2Si2F.

Results
* size of the total moment: 0.000 μB per cell
* DFT total energy: -0.2636 Ry/atom
* ΔE_f (raw): -0.097 eV per atom

Unit cell a=7.4574 b=7.4574 c=4.2308 alpha=90.00 beta=90.00 gamma=90.00
Space group P4/mbm (No. 127)
Asymmetric unit:
Tl 0.2063 0.2937 0.0000
Si 0.1062 0.6062 0.5000
F 0.0000 0.0000 0.0000

---

VASP calculation (PBE-GGA) on an optimized crystal structure of ZrBe9Cr2.

Results
* size of the total moment: 0.000 μB per cell
* DFT total energy: -0.3904 Ry/atom
* DFT formation energy: -0.201 eV/atom

Unit cell a=4.3620 b=4.3620 c=13.8751 alpha=90.00 beta=90.00 gamma=120.00
Space group P6_3/mmc (No. 194)
Asymmetric unit:
Zr 0.3333 0.6667 0.2500
Be 0.0000 0.0000 0.0000
Be 0.0000 0.0000 0.2500
Be 0.1697 0.3395 0.6202
Be 0.3333 0.6667 0.7500
Cr 0.3333 0.6667 0.0320